Compound: AlTlCo2
Source: the Alexandria database
Functional: GGA-PBE
Structure: optimized geometry

## Properties
E_form, eV/atom: 0.25
Space group: No. 8

Cell lengths 4.958, 4.958, 4.375 Å; angles 107.62, 107.62, 35.21 degrees
Atoms (fractional coordinates):
Al  0.000  0.000  0.000
Tl  0.222  0.222  0.642
Co  0.465  0.465  0.458
Co  0.744  0.744  0.154

Compound: BeGe2Pb2
Source: the Alexandria database
Functional: GGA-PBE
Structure: optimized geometry

## Properties
E_form, eV/atom: 0.29
Space group: No. 127

Cell lengths 6.409, 6.409, 5.488 Å; angles 90.00, 90.00, 90.00 degrees
Atoms (fractional coordinates):
Be  0.000  0.000  0.000
Be  0.500  0.500  0.000
Ge  0.147  0.353  0.000
Ge  0.353  0.853  0.000
Ge  0.647  0.147  0.000
Ge  0.853  0.647  0.000
Pb  0.191  0.691  0.500
Pb  0.309  0.191  0.500
Pb  0.691  0.809  0.500
Pb  0.809  0.309  0.500

Compound: GdTiAgPb
Source: the Alexandria database
Functional: GGA-PBE
Structure: optimized geometry

## Properties
E_form, eV/atom: -0.12
Space group: No. 216

Cell lengths 5.087, 5.087, 5.087 Å; angles 60.00, 60.00, 60.00 degrees
Atoms (fractional coordinates):
Gd  0.000  0.000  0.000
Ti  0.500  0.500  0.500
Ag  0.250  0.250  0.250
Pb  0.750  0.750  0.750

Compound: Cu2Au
Source: the Alexandria database
Functional: GGA-PBE
Structure: optimized geometry

## Properties
E_form, eV/atom: 0.02
Space group: No. 8

Cell lengths 5.142, 5.142, 6.467 Å; angles 104.83, 104.83, 31.27 degrees
Atoms (fractional coordinates):
Cu  0.000  0.000  0.000
Cu  0.056  0.056  0.609
Cu  0.384  0.384  0.258
Cu  0.714  0.714  0.937
Au  0.342  0.342  0.681
Au  0.660  0.660  0.320

Compound: Th2TcGe6Ru
Source: the Alexandria database
Functional: GGA-PBE
Structure: optimized geometry

## Properties
E_form, eV/atom: -0.32
Space group: No. 166

Cell lengths 13.167, 13.167, 13.167 Å; angles 26.85, 26.85, 26.85 degrees
Atoms (fractional coordinates):
Th  0.108  0.108  0.108
Th  0.300  0.300  0.300
Th  0.700  0.700  0.700
Th  0.892  0.892  0.892
Tc  0.000  0.000  0.000
Tc  0.500  0.500  0.500
Ge  0.073  0.656  0.656
Ge  0.228  0.228  0.662
Ge  0.228  0.662  0.228
Ge  0.338  0.772  0.772
Ge  0.344  0.344  0.927
Ge  0.344  0.927  0.344
Ge  0.656  0.073  0.656
Ge  0.656  0.656  0.073
Ge  0.662  0.228  0.228
Ge  0.772  0.338  0.772
Ge  0.772  0.772  0.338
Ge  0.927  0.344  0.344
Ru  0.425  0.425  0.425
Ru  0.575  0.575  0.575

Compound: Er2AuO4F
Source: the Alexandria database
Functional: GGA-PBE
Structure: optimized geometry

## Properties
Formation energy from raw total energies, kJ/mol of formula units: -1858
Space group: No. 12

Cell lengths 5.436, 5.436, 6.322 Å; angles 112.91, 112.91, 36.09 degrees
Atoms (fractional coordinates):
Er  0.187  0.187  0.207
Er  0.813  0.813  0.793
Au  0.000  0.000  0.500
O  0.171  0.171  0.819
O  0.357  0.357  0.566
O  0.643  0.643  0.434
O  0.829  0.829  0.181
F  0.500  0.500  0.000

Compound: Dy3Y7Mg
Source: the Alexandria database
Functional: GGA-PBE
Structure: optimized geometry

## Properties
E_form, eV/atom: 0.20
Space group: No. 156

Cell lengths 7.017, 7.017, 8.578 Å; angles 90.00, 90.00, 120.00 degrees
Atoms (fractional coordinates):
Dy  0.168  0.337  0.000
Dy  0.168  0.832  0.000
Dy  0.663  0.832  0.000
Y  0.006  0.503  0.663
Y  0.332  0.166  0.334
Y  0.333  0.667  0.330
Y  0.497  0.503  0.663
Y  0.497  0.994  0.663
Y  0.834  0.166  0.334
Y  0.834  0.668  0.334
Mg  0.000  0.000  0.661

Compound: HfSnBr3
Source: the Alexandria database
Functional: GGA-PBE
Structure: optimized geometry

## Properties
Formation energy from raw total energies, kJ/mol of formula units: -135
Space group: No. 221

Cell lengths 5.287, 5.287, 5.287 Å; angles 90.00, 90.00, 90.00 degrees
Atoms (fractional coordinates):
Hf  0.000  0.000  0.000
Sn  0.500  0.500  0.500
Br  0.000  0.000  0.500
Br  0.000  0.500  0.000
Br  0.500  0.000  0.000

Compound: BaReN3
Source: the Alexandria database
Functional: GGA-PBE
Structure: optimized geometry

## Properties
Formation energy from raw total energies, kJ/mol of formula units: -92
Space group: No. 2

Cell lengths 4.562, 5.322, 6.393 Å; angles 92.00, 103.96, 93.86 degrees
Atoms (fractional coordinates):
Ba  0.201  0.226  0.385
Ba  0.799  0.774  0.615
Re  0.425  0.721  0.047
Re  0.575  0.279  0.953
N  0.107  0.708  0.198
N  0.168  0.422  0.821
N  0.376  0.936  0.803
N  0.624  0.064  0.197
N  0.832  0.578  0.179
N  0.893  0.292  0.802

Compound: Pu6Tl
Source: the Alexandria database
Functional: GGA-PBE
Structure: optimized geometry

## Properties
E_form, eV/atom: 0.37
Space group: No. 229

Cell lengths 5.804, 5.804, 5.804 Å; angles 109.47, 109.47, 109.47 degrees
Atoms (fractional coordinates):
Pu  0.250  0.500  0.750
Pu  0.250  0.750  0.500
Pu  0.500  0.250  0.750
Pu  0.500  0.750  0.250
Pu  0.750  0.250  0.500
Pu  0.750  0.500  0.250
Tl  0.000  0.000  0.000

Compound: CeEr4Bi5
Source: the Alexandria database
Functional: GGA-PBE
Structure: optimized geometry

## Properties
E_form, eV/atom: -0.80
Space group: No. 71

Cell lengths 11.843, 11.843, 11.843 Å; angles 158.20, 148.96, 38.25 degrees
Atoms (fractional coordinates):
Ce  0.000  0.000  0.000
Er  0.202  0.202  0.000
Er  0.399  0.399  0.000
Er  0.601  0.601  0.000
Er  0.798  0.798  0.000
Bi  0.103  0.603  0.500
Bi  0.301  0.801  0.500
Bi  0.500  0.000  0.500
Bi  0.699  0.199  0.500
Bi  0.897  0.397  0.500

Please write out number 8 again, unchanged.
Compound: HfSnBr3
Source: the Alexandria database
Functional: GGA-PBE
Structure: optimized geometry

## Properties
Formation energy from raw total energies, kJ/mol of formula units: -135
Space group: No. 221

Cell lengths 5.287, 5.287, 5.287 Å; angles 90.00, 90.00, 90.00 degrees
Atoms (fractional coordinates):
Hf  0.000  0.000  0.000
Sn  0.500  0.500  0.500
Br  0.000  0.000  0.500
Br  0.000  0.500  0.000
Br  0.500  0.000  0.000